{
  "formula": "KBPt3",
  "functional": "PBE-GGA",
  "state": "relaxed",
  "energy_ev_per_cell": -24.4,
  "dos_at_fermi_per_ev_atom": 0.586,
  "formation_enthalpy_0k_mev_per_atom": 296,
  "volume_a3_per_atom": 30.96,
  "cell": [[3.143, 0.000, 6.032], [-1.571, 2.722, 6.032], [-1.571, -2.722, 6.032]],
  "species": ["Pt", "K", "Pt", "Pt", "B"],
  "fractional_positions": [[0.823, 0.343, 0.823], [0.830, 0.830, 0.830], [0.343, 0.823, 0.823], [0.823, 0.823, 0.343], [0.056, 0.056, 0.056]]
}

{
  "formula": "Pr4Pt",
  "functional": "PBE-GGA",
  "state": "relaxed",
  "energy_ev_per_cell": -50.6,
  "dos_at_fermi_per_ev_atom": 1.373,
  "formation_enthalpy_0k_mev_per_atom": -33,
  "volume_a3_per_atom": 36.88,
  "cell": [[0.000, 5.692, 5.692], [5.692, 0.000, 5.692], [5.692, 5.692, 0.000]],
  "species": ["Pt", "Pr", "Pr", "Pr", "Pr", "Pr", "Pr", "Pr", "Pt", "Pr"],
  "fractional_positions": [[0.000, 0.000, 0.000], [0.861, 0.861, 0.861], [0.389, 0.389, 0.389], [0.861, 0.418, 0.861], [0.418, 0.861, 0.861], [0.389, 0.389, 0.832], [0.389, 0.832, 0.389], [0.861, 0.861, 0.418], [0.250, 0.250, 0.250], [0.832, 0.389, 0.389]]
}

{
  "formula": "AlOs2Pd",
  "functional": "PBE-GGA",
  "state": "relaxed",
  "energy_ev_per_cell": -49.3,
  "dos_at_fermi_per_ev_atom": 2.437,
  "formation_enthalpy_0k_mev_per_atom": 1692,
  "volume_a3_per_atom": 21.90,
  "cell": [[5.798, 0.000, 0.000], [0.000, 5.798, 0.000], [2.899, 2.899, 5.212]],
  "species": ["Pd", "Os", "Pd", "Al", "Os", "Os", "Al", "Os"],
  "fractional_positions": [[0.750, 0.250, 0.500], [0.375, 0.371, 0.750], [0.000, 0.000, 0.000], [0.500, 0.500, 0.000], [0.875, 0.879, 0.750], [0.121, 0.625, 0.250], [0.250, 0.750, 0.500], [0.629, 0.125, 0.250]]
}

{
  "formula": "TaIr2Pt",
  "functional": "PBE-GGA",
  "state": "relaxed",
  "energy_ev_per_cell": -37.0,
  "dos_at_fermi_per_ev_atom": 1.176,
  "formation_enthalpy_0k_mev_per_atom": -344,
  "volume_a3_per_atom": 15.56,
  "cell": [[4.860, -0.004, 0.003], [4.044, 2.695, 0.003], [0.818, 0.247, 4.747]],
  "species": ["Ir", "Ir", "Ta", "Pt"],
  "fractional_positions": [[0.001, 0.001, 0.989], [0.746, 0.746, 0.761], [0.252, 0.252, 0.251], [0.501, 0.501, 0.499]]
}

{
  "formula": "LaHoAl6",
  "functional": "PBE-GGA",
  "state": "relaxed",
  "energy_ev_per_cell": -35.3,
  "dos_at_fermi_per_ev_atom": 0.392,
  "formation_enthalpy_0k_mev_per_atom": -420,
  "volume_a3_per_atom": 20.93,
  "cell": [[4.655, 0.000, 0.000], [0.000, 5.682, -3.036], [0.000, -0.206, 6.439]],
  "species": ["Ho", "Al", "Al", "Al", "Al", "Al", "Al", "La"],
  "fractional_positions": [[0.000, 0.083, 0.917], [0.500, 0.894, 0.106], [0.500, 0.894, 0.539], [0.000, 0.609, 0.391], [0.000, 0.610, 0.969], [0.000, 0.031, 0.390], [0.500, 0.461, 0.106], [0.500, 0.416, 0.584]]
}

{
  "formula": "YCdP2",
  "functional": "PBE-GGA",
  "state": "relaxed",
  "energy_ev_per_cell": -20.6,
  "dos_at_fermi_per_ev_atom": 0.348,
  "formation_enthalpy_0k_mev_per_atom": -597,
  "volume_a3_per_atom": 22.28,
  "cell": [[3.981, 0.002, 0.000], [-0.002, 3.981, 0.000], [0.000, 0.000, 5.622]],
  "species": ["P", "Y", "Cd", "P"],
  "fractional_positions": [[0.000, 0.000, 0.875], [0.000, 0.000, 0.375], [0.500, 0.500, 0.875], [0.500, 0.500, 0.375]]
}

{
  "formula": "LaNdY2Tm2",
  "functional": "PBE-GGA",
  "state": "relaxed",
  "energy_ev_per_cell": -61.0,
  "dos_at_fermi_per_ev_atom": 1.597,
  "formation_enthalpy_0k_mev_per_atom": 177,
  "volume_a3_per_atom": 33.61,
  "cell": [[3.582, 0.000, 0.000], [0.000, 16.118, 0.000], [0.000, 0.000, 6.984]],
  "species": ["Tm", "Tm", "Y", "Nd", "Tm", "La", "Y", "Tm", "Y", "Y", "Nd", "La"],
  "fractional_positions": [[0.000, 0.654, 0.249], [0.500, 0.846, 0.749], [0.000, 0.337, 0.250], [0.000, 0.000, 0.500], [0.000, 0.346, 0.751], [0.000, 0.000, 0.000], [0.500, 0.163, 0.750], [0.500, 0.154, 0.251], [0.500, 0.837, 0.250], [0.000, 0.663, 0.750], [0.500, 0.500, 0.000], [0.500, 0.500, 0.500]]
}

{
  "formula": "InReGe2",
  "functional": "PBE-GGA",
  "state": "relaxed",
  "energy_ev_per_cell": -23.8,
  "dos_at_fermi_per_ev_atom": 0.460,
  "formation_enthalpy_0k_mev_per_atom": 159,
  "volume_a3_per_atom": 19.37,
  "cell": [[-0.774, -2.992, -0.347], [0.498, -1.430, -2.716], [8.339, -3.988, 1.847]],
  "species": ["Ge", "In", "Ge", "Re"],
  "fractional_positions": [[0.899, 0.899, 0.302], [0.000, 0.000, 0.000], [0.101, 0.101, 0.698], [0.500, 0.500, 0.500]]
}

{
  "formula": "PuThCdAu",
  "functional": "PBE-GGA",
  "state": "relaxed",
  "energy_ev_per_cell": -26.7,
  "dos_at_fermi_per_ev_atom": 3.171,
  "formation_enthalpy_0k_mev_per_atom": -191,
  "volume_a3_per_atom": 26.27,
  "cell": [[5.297, 0.000, 0.000], [2.648, 4.587, 0.000], [2.648, 1.529, 4.325]],
  "species": ["Pu", "Cd", "Au", "Th"],
  "fractional_positions": [[0.000, 0.000, 0.000], [0.750, 0.750, 0.750], [0.250, 0.250, 0.250], [0.500, 0.500, 0.500]]
}

{
  "formula": "Pa2SiNi5",
  "functional": "PBE-GGA",
  "state": "relaxed",
  "energy_ev_per_cell": -55.8,
  "raw_formation_energy_mev_per_atom": -308,
  "dos_at_fermi_per_ev_atom": 1.024,
  "volume_a3_per_atom": 15.59,
  "cell": [[5.539, 0.103, 0.147], [-2.637, 4.872, -0.147], [-2.637, -1.796, 4.532]],
  "species": ["Ni", "Ni", "Ni", "Pa", "Si", "Ni", "Ni", "Pa"],
  "fractional_positions": [[0.000, 0.253, 0.253], [0.000, 0.291, 0.721], [0.570, 0.291, 0.291], [0.500, 0.752, 0.252], [0.000, 0.941, 0.941], [0.430, 0.721, 0.721], [0.000, 0.721, 0.291], [0.500, 0.252, 0.752]]
}

{
  "formula": "Cs2ScNbBr6",
  "functional": "PBE-GGA",
  "state": "relaxed",
  "energy_ev_per_cell": -40.8,
  "raw_formation_energy_mev_per_atom": -1267,
  "dos_at_fermi_per_ev_atom": 0.481,
  "volume_a3_per_atom": 32.77,
  "cell": [[-7.102, 2.126, -2.222], [1.876, -1.435, -7.370], [-4.335, -4.817, -4.229]],
  "species": ["Br", "Br", "Br", "Sc", "Cs", "Br", "Br", "Nb", "Cs", "Br"],
  "fractional_positions": [[0.750, 0.750, 0.000], [0.750, 0.750, 0.500], [0.250, 0.250, 0.000], [0.500, 0.500, 0.000], [0.250, 0.750, 0.500], [0.750, 0.250, 0.000], [0.250, 0.250, 0.500], [0.000, 0.000, 0.000], [0.750, 0.250, 0.500], [0.250, 0.750, 0.000]]
}

{
  "formula": "Ac4Ni2Hg",
  "functional": "PBE-GGA",
  "state": "relaxed",
  "energy_ev_per_cell": -60.3,
  "dos_at_fermi_per_ev_atom": 0.871,
  "formation_enthalpy_0k_mev_per_atom": -267,
  "volume_a3_per_atom": 32.94,
  "cell": [[-3.704, 0.557, -2.071], [-1.672, -3.616, 6.440], [-1.862, 13.032, 6.835]],
  "species": ["Ac", "Hg", "Ac", "Hg", "Ni", "Ac", "Ac", "Ni", "Ni", "Ac", "Ni", "Ac", "Ac", "Ac"],
  "fractional_positions": [[0.763, 0.527, 0.113], [0.384, 0.769, 0.250], [0.237, 0.473, 0.887], [0.616, 0.231, 0.750], [0.131, 0.263, 0.441], [0.936, 0.871, 0.750], [0.064, 0.129, 0.250], [0.869, 0.737, 0.941], [0.869, 0.737, 0.559], [0.237, 0.473, 0.613], [0.131, 0.263, 0.059], [0.500, 0.000, 0.500], [0.500, 0.000, 0.000], [0.763, 0.527, 0.387]]
}